# Rb2SmTmTe4 (PBE, optimized geometry)
data_Rb2SmTmTe4
_cell_length_a 7.8718
_cell_length_b 4.5430
_cell_length_c 8.9494
_cell_angle_alpha 90.00
_cell_angle_beta 107.02
_cell_angle_gamma 90.00
_symmetry_space_group_name_H-M 'P 1 2/m 1'
_symmetry_Int_Tables_number 10
loop_
_symmetry_equiv_pos_as_xyz
'x,y,z'
'-x,-y,-z'
'-x,y,-z'
'x,-y,z'
loop_
_atom_site_label
_atom_site_fract_x
_atom_site_fract_y
_atom_site_fract_z
_atom_site_occupancy
Rb1 0.0000 0.0000 0.0000 1
Rb2 0.5000 0.5000 0.0000 1
Sm1 0.0000 0.5000 0.5000 1
Tm1 0.5000 0.0000 0.5000 1
Te1 0.2405 0.0000 0.7014 1
Te2 0.2741 0.5000 0.3018 1
# * V: 306.0 Å³ per cell
# * formation energy (no corrections): -1.377 eV per atom
# * VASP energy: -34.71 eV for the cell shown

=====

# Rb3SmTm2Te6 (PBE, optimized geometry)
data_Rb3SmTm2Te6
_cell_length_a 7.8354
_cell_length_b 13.5714
_cell_length_c 8.9419
_cell_angle_alpha 90.00
_cell_angle_beta 106.99
_cell_angle_gamma 90.00
_symmetry_space_group_name_H-M 'C 1 2/m 1'
_symmetry_Int_Tables_number 12
loop_
_symmetry_equiv_pos_as_xyz
'x,y,z'
'-x,-y,-z'
'-x,y,-z'
'x,-y,z'
'x+1/2,y+1/2,z'
'-x+1/2,-y+1/2,-z'
'-x+1/2,y+1/2,-z'
'x+1/2,-y+1/2,z'
loop_
_atom_site_label
_atom_site_fract_x
_atom_site_fract_y
_atom_site_fract_z
_atom_site_occupancy
Rb1 0.0000 0.0000 0.0000 1
Rb2 0.0000 0.3355 0.0000 1
Sm1 0.0000 0.5000 0.5000 1
Tm1 0.0000 0.1669 0.5000 1
Te1 0.2252 0.0000 0.6983 1
Te2 0.2368 0.3296 0.6990 1
# * V: 909.3 Å³ per cell
# * formation energy (no corrections): -1.371 eV per atom
# * VASP energy: -103.73 eV for the cell shown

=====

# Rb4Sm3UTe8 (PBE, optimized geometry)
data_Rb4Sm3UTe8
_cell_length_a 9.1998
_cell_length_b 9.1998
_cell_length_c 25.7329
_cell_angle_alpha 90.00
_cell_angle_beta 90.00
_cell_angle_gamma 120.00
_symmetry_space_group_name_H-M 'R -3 m'
_symmetry_Int_Tables_number 166
_symmetry_space_group_name_Hall '-R 3 2"'
loop_
_atom_site_label
_atom_site_fract_x
_atom_site_fract_y
_atom_site_fract_z
_atom_site_occupancy
Rb1 0.0000 0.0000 0.0000 1
Rb2 0.0000 0.5000 0.0000 1
Sm1 0.0000 0.5000 0.5000 1
U1 0.0000 0.0000 0.5000 1
Te1 0.0000 0.0000 0.2345 1
Te2 0.0003 0.5002 0.2344 1
# * V: 1886.2 Å³ per cell
# * formation energy (no corrections): -1.255 eV per atom
# * VASP energy: -223.57 eV for the cell shown

=====

# Rb2Sm2UTe6 (PBE, optimized geometry)
data_Rb2Sm2UTe6
_cell_length_a 7.8171
_cell_length_b 13.4904
_cell_length_c 9.1669
_cell_angle_alpha 90.00
_cell_angle_beta 106.83
_cell_angle_gamma 90.00
_symmetry_space_group_name_H-M 'C 1 2/m 1'
_symmetry_Int_Tables_number 12
loop_
_symmetry_equiv_pos_as_xyz
'x,y,z'
'-x,-y,-z'
'-x,y,-z'
'x,-y,z'
'x+1/2,y+1/2,z'
'-x+1/2,-y+1/2,-z'
'-x+1/2,y+1/2,-z'
'x+1/2,-y+1/2,z'
loop_
_atom_site_label
_atom_site_fract_x
_atom_site_fract_y
_atom_site_fract_z
_atom_site_occupancy
Rb1 0.0000 0.1691 0.0000 1
Sm1 0.0000 0.3325 0.5000 1
U1 0.0000 0.0000 0.5000 1
Te1 0.2319 0.1621 0.6997 1
Te2 0.2413 0.5000 0.6979 1
# * V: 925.3 Å³ per cell
# * formation energy (no corrections): -1.186 eV per atom
# * VASP energy: -109.12 eV for the cell shown

=====

# Rb3SmU2Te6 (PBE, optimized geometry)
data_Rb3SmU2Te6
_cell_length_a 7.8981
_cell_length_b 13.6811
_cell_length_c 8.9977
_cell_angle_alpha 90.00
_cell_angle_beta 107.01
_cell_angle_gamma 90.00
_symmetry_space_group_name_H-M 'C 1 2/m 1'
_symmetry_Int_Tables_number 12
loop_
_symmetry_equiv_pos_as_xyz
'x,y,z'
'-x,-y,-z'
'-x,y,-z'
'x,-y,z'
'x+1/2,y+1/2,z'
'-x+1/2,-y+1/2,-z'
'-x+1/2,y+1/2,-z'
'x+1/2,-y+1/2,z'
loop_
_atom_site_label
_atom_site_fract_x
_atom_site_fract_y
_atom_site_fract_z
_atom_site_occupancy
Rb1 0.0000 0.0000 0.0000 1
Rb2 0.0000 0.3343 0.0000 1
Sm1 0.0000 0.5000 0.5000 1
U1 0.0000 0.1669 0.5000 1
Te1 0.2315 0.0000 0.7024 1
Te2 0.2356 0.3321 0.7029 1
# * V: 929.7 Å³ per cell
# * formation energy (no corrections): -1.017 eV per atom
# * VASP energy: -122.50 eV for the cell shown

=====

# Rb3Sm3VTe8 (PBE, optimized geometry)
data_Rb3Sm3VTe8
_cell_length_a 15.2915
_cell_length_b 8.8170
_cell_length_c 10.2302
_cell_angle_alpha 90.00
_cell_angle_beta 119.91
_cell_angle_gamma 90.00
_symmetry_space_group_name_H-M 'C 1 2/m 1'
_symmetry_Int_Tables_number 12
loop_
_symmetry_equiv_pos_as_xyz
'x,y,z'
'-x,-y,-z'
'-x,y,-z'
'x,-y,z'
'x+1/2,y+1/2,z'
'-x+1/2,-y+1/2,-z'
'-x+1/2,y+1/2,-z'
'x+1/2,-y+1/2,z'
loop_
_atom_site_label
_atom_site_fract_x
_atom_site_fract_y
_atom_site_fract_z
_atom_site_occupancy
Rb1 0.0000 0.0000 0.0000 1
Rb2 0.2500 0.2500 0.0000 1
Sm1 0.0000 0.5000 0.5000 1
Sm2 0.2500 0.2500 0.5000 1
V1 0.0000 0.0000 0.5000 1
Te1 0.0131 0.2268 0.3126 1
Te2 0.2137 0.0000 0.6874 1
Te3 0.2353 0.5000 0.7059 1
# * V: 1195.5 Å³ per cell
# * formation energy (no corrections): -1.096 eV per atom
# * VASP energy: -135.51 eV for the cell shown

=====

# Rb4SmY3Te8 (PBE, optimized geometry)
data_Rb4SmY3Te8
_cell_length_a 9.0950
_cell_length_b 9.0950
_cell_length_c 25.6632
_cell_angle_alpha 90.00
_cell_angle_beta 90.00
_cell_angle_gamma 120.00
_symmetry_space_group_name_H-M 'R -3 m'
_symmetry_Int_Tables_number 166
_symmetry_space_group_name_Hall '-R 3 2"'
loop_
_atom_site_label
_atom_site_fract_x
_atom_site_fract_y
_atom_site_fract_z
_atom_site_occupancy
Rb1 0.0000 0.0000 0.0000 1
Rb2 0.0000 0.5000 0.0000 1
Sm1 0.0000 0.0000 0.5000 1
Y1 0.0000 0.5000 0.5000 1
Te1 0.0000 0.0000 0.2330 1
Te2 0.0039 0.5019 0.7664 1
# * V: 1838.5 Å³ per cell
# * formation energy (no corrections): -1.400 eV per atom
# * VASP energy: -226.55 eV for the cell shown

=====

# Rb3Sm3YTe8 (PBE, optimized geometry)
data_Rb3Sm3YTe8
_cell_length_a 8.9599
_cell_length_b 8.9599
_cell_length_c 26.5521
_cell_angle_alpha 90.00
_cell_angle_beta 90.00
_cell_angle_gamma 120.00
_symmetry_space_group_name_H-M 'R -3 m'
_symmetry_Int_Tables_number 166
_symmetry_space_group_name_Hall '-R 3 2"'
loop_
_atom_site_label
_atom_site_fract_x
_atom_site_fract_y
_atom_site_fract_z
_atom_site_occupancy
Rb1 0.0000 0.5000 0.0000 1
Sm1 0.0000 0.5000 0.5000 1
Y1 0.0000 0.0000 0.5000 1
Te1 0.0000 0.0000 0.2347 1
Te2 0.0029 0.5014 0.2336 1
# * V: 1846.2 Å³ per cell
# * formation energy (no corrections): -1.327 eV per atom
# * VASP energy: -205.67 eV for the cell shown

=====

# RbSm3Y2Te6 (PBE, optimized geometry)
data_RbSm3Y2Te6
_cell_length_a 19.6278
_cell_length_b 4.4386
_cell_length_c 9.1744
_cell_angle_alpha 90.00
_cell_angle_beta 103.61
_cell_angle_gamma 90.00
_symmetry_space_group_name_H-M 'C 1 2/m 1'
_symmetry_Int_Tables_number 12
loop_
_symmetry_equiv_pos_as_xyz
'x,y,z'
'-x,-y,-z'
'-x,y,-z'
'x,-y,z'
'x+1/2,y+1/2,z'
'-x+1/2,-y+1/2,-z'
'-x+1/2,y+1/2,-z'
'x+1/2,-y+1/2,z'
loop_
_atom_site_label
_atom_site_fract_x
_atom_site_fract_y
_atom_site_fract_z
_atom_site_occupancy
Rb1 0.0000 0.0000 0.0000 1
Sm1 0.0000 0.0000 0.5000 1
Sm2 0.1583 0.5000 0.8152 1
Y1 0.1680 0.5000 0.3424 1
Te1 0.0062 0.5000 0.2693 1
Te2 0.1678 0.0000 0.5781 1
Te3 0.1769 0.0000 0.0906 1
# * V: 776.8 Å³ per cell
# * formation energy (no corrections): -1.312 eV per atom
# * VASP energy: -125.31 eV for the cell shown

=====

# RbSm2Y3Te6 (PBE, optimized geometry)
data_RbSm2Y3Te6
_cell_length_a 19.6809
_cell_length_b 4.4029
_cell_length_c 9.1900
_cell_angle_alpha 90.00
_cell_angle_beta 104.52
_cell_angle_gamma 90.00
_symmetry_space_group_name_H-M 'C 1 2/m 1'
_symmetry_Int_Tables_number 12
loop_
_symmetry_equiv_pos_as_xyz
'x,y,z'
'-x,-y,-z'
'-x,y,-z'
'x,-y,z'
'x+1/2,y+1/2,z'
'-x+1/2,-y+1/2,-z'
'-x+1/2,y+1/2,-z'
'x+1/2,-y+1/2,z'
loop_
_atom_site_label
_atom_site_fract_x
_atom_site_fract_y
_atom_site_fract_z
_atom_site_occupancy
Rb1 0.0000 0.0000 0.0000 1
Sm1 0.1725 0.5000 0.3495 1
Y1 0.0000 0.0000 0.5000 1
Y2 0.1620 0.5000 0.8211 1
Te1 0.0023 0.5000 0.2732 1
Te2 0.1631 0.0000 0.5882 1
Te3 0.1766 0.0000 0.0842 1
# * V: 770.9 Å³ per cell
# * formation energy (no corrections): -1.320 eV per atom
# * VASP energy: -128.98 eV for the cell shown

=====

# Rb3SmY3Te8 (PBE, optimized geometry)
data_Rb3SmY3Te8
_cell_length_a 8.8633
_cell_length_b 8.8633
_cell_length_c 26.4373
_cell_angle_alpha 90.00
_cell_angle_beta 90.00
_cell_angle_gamma 120.00
_symmetry_space_group_name_H-M 'R -3 m'
_symmetry_Int_Tables_number 166
_symmetry_space_group_name_Hall '-R 3 2"'
loop_
_atom_site_label
_atom_site_fract_x
_atom_site_fract_y
_atom_site_fract_z
_atom_site_occupancy
Rb1 0.0000 0.5000 0.0000 1
Sm1 0.0000 0.0000 0.5000 1
Y1 0.0000 0.5000 0.5000 1
Te1 0.0000 0.0000 0.2334 1
Te2 0.0070 0.5035 0.7661 1
# * V: 1798.8 Å³ per cell
# * formation energy (no corrections): -1.330 eV per atom
# * VASP energy: -216.30 eV for the cell shown

=====

# RbSmZnTe3 (PBE, optimized geometry)
data_RbSmZnTe3
_cell_length_a 10.0588
_cell_length_b 4.4754
_cell_length_c 10.7281
_cell_angle_alpha 90.00
_cell_angle_beta 109.29
_cell_angle_gamma 90.00
_symmetry_space_group_name_H-M 'P 1 21/m 1'
_symmetry_Int_Tables_number 11
loop_
_symmetry_equiv_pos_as_xyz
'x,y,z'
'-x,-y,-z'
'-x,y+1/2,-z'
'x,-y+1/2,z'
loop_
_atom_site_label
_atom_site_fract_x
_atom_site_fract_y
_atom_site_fract_z
_atom_site_occupancy
Rb1 0.2129 0.2500 0.2429 1
Sm1 0.3267 0.7500 0.8612 1
Zn1 0.0835 0.2500 0.6089 1
Te1 0.1050 0.2500 0.8614 1
Te2 0.2006 0.7500 0.5369 1
Te3 0.4672 0.7500 0.1666 1
# * V: 455.8 Å³ per cell
# * formation energy (no corrections): -1.073 eV per atom
# * VASP energy: -45.65 eV for the cell shown